Density functional theory data (PBE) for an optimized crystal structure of NaNi2Rh.

## Properties
Final energy: -4.283 eV per atom

Cell: 3.759 3.759 9.136 Å, 78.13 78.13 90.00°
Last column: magnetic moment on the atom in μB.
Element x y z (fractional)
Ni  0.669  0.125  0.250  0.67
Ni  0.081  0.625  0.250  0.66
Ni  0.375  0.331  0.750  0.71
Ni  0.875  0.919  0.750  0.71
Rh  0.000  0.000  0.000  0.70
Rh  0.750  0.250  0.500  0.68
Na  0.500  0.500  0.000  -0.01
Na  0.250  0.750  0.500  -0.01